Tc2HgO (PBE, optimized geometry); excess energy over the best structure of this formula in the dataset = 629 meV per atom; space group = Fm-3m, No. 225; energy relative to the elements, uncorrected = 1047 meV per atom; density of states at the Fermi level = 4.7 states/eV per cell; VASP energy = -0.200 hartree per atom
1.0
0.000 3.081 3.081
3.081 0.000 3.081
3.081 3.081 0.000
Hg Tc O
1 2 1
Cartesian
3.081 3.081 3.081
4.621 4.621 4.621
1.540 1.540 1.540
0.000 0.000 0.000

***

TcHgO6 (PBE, optimized geometry); space group = Fm-3m, No. 225; energy relative to the elements, uncorrected = -167 meV per atom; density of states at the Fermi level = 5.1 states/eV per cell; VASP energy = -0.192 hartree per atom
1.0
5.916 0.000 0.000
2.958 5.124 0.000
2.958 1.708 4.831
O Hg Tc
6 1 1
Cartesian
7.556 4.363 1.076
5.916 5.309 3.754
5.916 1.522 1.076
7.556 2.469 3.754
4.277 2.469 3.754
4.277 4.363 1.076
5.916 3.416 2.415
0.000 0.000 0.000

***

Tc2Hg2O7 (PBE, optimized geometry); space group = C2/m, No. 12; energy relative to the elements, uncorrected = -998 meV per atom; density of states at the Fermi level = 0.5 states/eV per cell; VASP energy = -0.224 hartree per atom
1.0
5.932 0.857 -0.625
-1.538 5.793 -0.625
0.078 0.118 7.890
Hg O Tc
2 7 2
Cartesian
0.848 4.302 3.320
3.625 2.467 3.320
-0.019 2.490 6.164
2.174 5.810 0.476
1.603 2.426 0.498
0.000 0.000 0.000
4.492 4.278 0.476
2.870 4.343 6.142
2.298 0.959 6.164
3.444 5.212 -0.511
1.029 1.556 7.151

***

TcHgO3 (PBE, optimized geometry); space group = Pm-3m, No. 221; energy relative to the elements, uncorrected = 808 meV per atom; density of states at the Fermi level = 2.8 states/eV per cell; VASP energy = -0.158 hartree per atom
1.0
-1.924 1.835 3.164
0.101 -3.547 2.119
3.657 1.063 1.606
O Tc Hg
3 1 1
Cartesian
0.050 -1.774 1.059
-0.962 0.918 1.582
1.828 0.532 0.803
0.917 -0.324 3.444
0.000 0.000 0.000

***

TcHgO4 (PBE, optimized geometry); excess energy over the best structure of this formula in the dataset = 64 meV per atom; space group = C2/c, No. 15; energy relative to the elements, uncorrected = -913 meV per atom; density of states at the Fermi level = 5.8 states/eV per cell; VASP energy = -0.220 hartree per atom
1.0
-4.366 0.441 -2.911
-3.025 -0.230 4.503
2.775 6.015 1.513
O Tc Hg
8 2 2
Cartesian
-3.904 1.070 3.602
-4.543 1.402 -0.083
-1.973 2.934 3.405
-0.461 3.049 1.153
-2.644 3.293 -0.299
-0.074 4.825 3.189
-0.712 5.157 -0.497
-4.156 3.178 1.952
-0.796 3.228 -0.699
-0.125 2.893 3.008
-1.865 0.055 0.387
-5.527 0.157 1.206

***

Tc2HgO7 (PBE, optimized geometry); space group = Cmmm, No. 65; energy relative to the elements, uncorrected = -755 meV per atom; density of states at the Fermi level = 4.2 states/eV per cell; VASP energy = -0.233 hartree per atom
1.0
-1.649 2.609 1.219
-3.009 -4.409 5.366
6.395 4.049 -0.014
O Hg Tc
7 1 2
Cartesian
0.869 1.124 3.286
1.030 2.239 1.119
0.707 0.010 5.452
3.588 1.524 1.592
-0.202 -1.885 3.760
-1.220 0.215 2.406
2.957 2.033 4.165
0.000 0.000 0.000
-0.416 -0.031 4.020
2.153 2.279 2.551

***

TcHgO3 (PBE, optimized geometry); space group = C2/m, No. 12; energy relative to the elements, uncorrected = -904 meV per atom; density of states at the Fermi level = 2.7 states/eV per cell; VASP energy = -0.221 hartree per atom
1.0
3.154 0.000 0.000
-1.577 5.582 -1.434
0.000 1.936 11.992
Hg O Tc
2 6 2
Cartesian
1.577 4.201 -0.805
0.000 3.317 11.364
0.000 5.785 3.078
1.577 4.873 6.038
1.577 1.734 7.480
0.000 5.523 8.400
0.000 2.646 4.520
1.577 1.995 2.158
0.000 5.722 6.685
1.577 1.796 3.873

***

Tc4HgO8 (PBE, optimized geometry); space group = I4/m, No. 87; energy relative to the elements, uncorrected = -1153 meV per atom; density of states at the Fermi level = 8.2 states/eV per cell; VASP energy = -0.273 hartree per atom
1.0
-1.498 0.632 2.212
-1.030 -7.186 3.060
5.746 1.156 5.265
O Hg Tc
8 1 4
Cartesian
1.605 -5.783 7.851
-0.059 -3.925 6.193
2.810 -3.538 6.322
1.613 0.385 2.686
3.276 -1.473 4.344
-1.471 -4.105 3.584
0.408 -1.860 4.215
4.688 -1.293 6.952
0.000 0.000 0.000
2.894 -1.996 7.642
1.589 -0.368 4.589
0.323 -3.402 2.895
1.628 -5.030 5.948

***

Question: Which value of density of states at the Fermi level does entry 6 give?
Answer: 4.2 states/eV per cell